Ca4Al6MoO16 (PBEsol, optimized geometry); magnetic moment = 0.0 Bohr magnetons per cell; distance to the lowest polymorph of the same formula = 0.17 eV/f.u.; raw formation energy = -2929 meV per atom; volume = 15.032 Å³/atom
1.0
-4.630 4.630 4.734
4.630 -4.630 4.734
4.630 4.630 -4.734
Ca Al Mo O
4 6 1 16
direct
0.481 0.445 0.461
0.555 0.016 0.036
0.980 0.519 0.964
0.984 0.020 0.539
0.250 0.750 0.500
0.254 0.491 0.733
0.479 0.746 0.237
0.509 0.242 0.763
0.750 0.250 0.500
0.758 0.521 0.267
0.000 0.000 0.000
0.004 0.364 0.676
0.006 0.726 0.419
0.261 0.132 0.178
0.274 0.694 0.280
0.306 0.586 0.581
0.307 0.289 0.684
0.377 0.693 0.982
0.414 0.994 0.720
0.605 0.623 0.316
0.636 0.312 0.640
0.672 0.996 0.360
0.688 0.328 0.324
0.711 0.395 0.018
0.868 0.046 0.129
0.917 0.739 0.871
0.954 0.083 0.822



Ca2AlMoO5 (PBEsol, optimized geometry); magnetic moment = 0.0 Bohr magnetons per cell; raw formation energy = -2590 meV per atom; volume = 12.328 Å³/atom
1.0
7.656 -2.900 0.000
7.656 2.900 0.000
-1.853 0.000 4.997
Ca Al Mo O
4 2 2 10
direct
0.207 0.793 0.500
0.516 0.929 0.722
0.793 0.207 0.000
0.929 0.516 0.222
0.193 0.529 0.832
0.529 0.193 0.332
0.361 0.861 0.128
0.861 0.361 0.628
0.121 0.126 0.386
0.126 0.121 0.886
0.139 0.785 0.007
0.258 0.464 0.499
0.464 0.258 0.999
0.583 0.937 0.306
0.598 0.600 0.863
0.600 0.598 0.363
0.785 0.139 0.507
0.937 0.583 0.806



CaAlRe2Mo (PBEsol, optimized geometry); DFT formation energy = 1.25 eV/atom; magnetic moment = 0.0 Bohr magnetons per cell; volume = 21.441 Å³/atom
1.0
4.701 0.000 0.000
0.000 4.701 0.000
0.000 0.000 4.852
Ca Al Re Mo
1 1 2 1
direct
0.000 0.000 0.000
0.500 0.500 0.000
0.000 0.500 0.500
0.500 0.000 0.500
0.500 0.500 0.500



Ca3AlN3 (PBEsol, optimized geometry); magnetic moment = 0.0 Bohr magnetons per cell; raw formation energy = -1141 meV per atom; volume = 14.398 Å³/atom
1.0
6.827 0.000 0.000
0.000 6.075 0.000
-0.612 0.000 9.721
Ca Al N
12 4 12
direct
0.076 0.141 0.150
0.076 0.359 0.650
0.355 0.717 0.806
0.355 0.783 0.306
0.372 0.206 0.923
0.372 0.294 0.423
0.628 0.706 0.577
0.628 0.794 0.077
0.645 0.217 0.694
0.645 0.283 0.194
0.924 0.641 0.350
0.924 0.859 0.850
0.160 0.592 0.061
0.160 0.908 0.561
0.840 0.092 0.439
0.840 0.408 0.939
0.105 0.038 0.382
0.105 0.462 0.882
0.260 0.622 0.529
0.260 0.878 0.029
0.338 0.068 0.679
0.338 0.432 0.179
0.662 0.568 0.821
0.662 0.932 0.321
0.740 0.122 0.971
0.740 0.378 0.471
0.895 0.538 0.118
0.895 0.962 0.618



Ca3Al3N5 (PBEsol, optimized geometry); magnetic moment = 0.0 Bohr magnetons per cell; raw formation energy = -1309 meV per atom; volume = 13.114 Å³/atom
1.0
5.634 0.000 0.000
-0.681 6.848 0.000
-2.132 -2.787 7.478
Ca Al N
6 6 10
direct
0.162 0.140 0.200
0.168 0.363 0.884
0.310 0.923 0.605
0.690 0.077 0.395
0.832 0.637 0.116
0.838 0.860 0.800
0.208 0.453 0.570
0.371 0.625 0.289
0.405 0.814 0.969
0.595 0.186 0.031
0.629 0.375 0.711
0.792 0.547 0.430
0.109 0.565 0.385
0.240 0.725 0.107
0.262 0.023 0.895
0.341 0.209 0.514
0.468 0.603 0.787
0.532 0.397 0.213
0.659 0.791 0.486
0.738 0.977 0.105
0.760 0.275 0.893
0.891 0.435 0.615



Ca2AlN (PBEsol, optimized geometry); magnetic moment = 0.0 Bohr magnetons per cell; raw formation energy = 403 meV per atom; volume = 20.262 Å³/atom
1.0
0.000 3.435 3.435
3.435 0.000 3.435
3.435 3.435 0.000
Ca Al N
2 1 1
direct
0.250 0.250 0.250
0.750 0.750 0.750
0.000 0.000 0.000
0.500 0.500 0.500



Ca10Al6Si13N30 (PBEsol, optimized geometry); magnetic moment = 0.1 Bohr magnetons per cell; raw formation energy = -1369 meV per atom; volume = 11.665 Å³/atom
1.0
5.021 0.000 0.000
-0.001 5.621 0.000
-0.066 -2.187 24.385
Ca Al Si N
10 6 13 30
direct
0.000 0.000 0.000
0.000 0.390 0.805
0.002 0.268 0.372
0.018 0.570 0.216
0.490 0.184 0.602
0.497 0.774 0.804
0.498 0.365 0.012
0.509 0.604 0.396
0.537 0.994 0.217
0.996 0.820 0.601
0.467 0.276 0.877
0.467 0.684 0.671
0.470 0.214 0.734
0.473 0.108 0.471
0.475 0.880 0.076
0.969 0.952 0.874
0.026 0.748 0.334
0.472 0.632 0.532
0.475 0.798 0.936
0.483 0.404 0.140
0.507 0.499 0.279
0.513 0.049 0.334
0.959 0.372 0.671
0.960 0.893 0.732
0.967 0.797 0.472
0.968 0.319 0.532
0.970 0.487 0.939
0.973 0.563 0.077
0.982 0.072 0.135
0.006 0.438 0.009
0.011 0.695 0.405
0.012 0.273 0.602
0.015 0.846 0.800
0.041 0.982 0.196
0.099 0.658 0.688
0.101 0.853 0.083
0.103 0.166 0.713
0.103 0.255 0.896
0.110 0.077 0.494
0.124 0.590 0.516
0.131 0.746 0.921
0.139 0.364 0.119
0.194 0.507 0.306
0.196 0.986 0.319
0.493 0.757 0.599
0.498 0.348 0.805
0.514 0.514 0.207
0.514 0.932 0.002
0.548 0.165 0.402
0.605 0.975 0.889
0.622 0.395 0.683
0.623 0.913 0.719
0.624 0.350 0.521
0.627 0.816 0.489
0.628 0.514 0.926
0.632 0.591 0.094
0.636 0.127 0.121
0.665 0.253 0.297
0.688 0.760 0.312



CaAlTeN2 (PBEsol, optimized geometry); magnetic moment = 4.0 Bohr magnetons per cell; raw formation energy = 1241 meV per atom; volume = 23.922 Å³/atom
1.0
4.415 0.000 0.000
0.000 4.415 0.000
0.000 0.000 6.135
Ca Al Te N
1 1 1 2
direct
0.000 0.000 0.000
0.500 0.500 0.500
0.000 0.000 0.500
0.000 0.500 0.000
0.500 0.000 0.000



NaCa3Al (PBEsol, optimized geometry); DFT formation energy = 0.11 eV/atom; magnetic moment = 0.0 Bohr magnetons per cell; volume = 41.594 Å³/atom
1.0
5.925 0.000 0.000
0.000 5.925 0.000
0.000 0.000 5.925
Na Ca Al
1 3 1
direct
0.000 0.000 0.000
0.000 0.500 0.500
0.500 0.000 0.500
0.500 0.500 0.000
0.500 0.500 0.500



Na3CaAl3Si3SO16 (PBEsol, optimized geometry); magnetic moment = 0.1 Bohr magnetons per cell; distance to the lowest polymorph of the same formula = 0.00 eV/f.u.; raw formation energy = -2633 meV per atom; volume = 13.593 Å³/atom
1.0
6.406 3.699 5.163
-6.406 3.699 5.163
0.000 -7.397 5.163
Na Ca Al Si S O
6 2 6 6 2 32
direct
0.080 0.459 0.461
0.459 0.461 0.080
0.461 0.080 0.459
0.580 0.961 0.959
0.959 0.580 0.961
0.961 0.959 0.580
0.077 0.077 0.077
0.577 0.577 0.577
0.016 0.769 0.269
0.269 0.016 0.769
0.269 0.516 0.769
0.516 0.769 0.269
0.769 0.269 0.016
0.769 0.269 0.516
0.018 0.265 0.771
0.265 0.771 0.018
0.271 0.765 0.518
0.518 0.271 0.765
0.765 0.518 0.271
0.771 0.018 0.265
0.253 0.253 0.253
0.753 0.753 0.753
0.092 0.278 0.281
0.112 0.118 0.821
0.118 0.821 0.112
0.121 0.401 0.715
0.133 0.712 0.412
0.212 0.633 0.912
0.215 0.901 0.621
0.278 0.281 0.092
0.281 0.092 0.278
0.314 0.921 0.930
0.321 0.618 0.612
0.349 0.349 0.349
0.401 0.715 0.121
0.412 0.133 0.712
0.421 0.814 0.430
0.430 0.421 0.814
0.592 0.781 0.778
0.612 0.321 0.618
0.618 0.612 0.321
0.621 0.215 0.901
0.633 0.912 0.212
0.712 0.412 0.133
0.715 0.121 0.401
0.778 0.592 0.781
0.781 0.778 0.592
0.814 0.430 0.421
0.821 0.112 0.118
0.849 0.849 0.849
0.901 0.621 0.215
0.912 0.212 0.633
0.921 0.930 0.314
0.930 0.314 0.921



Na3CaAl3Si3SO16 (PBEsol, optimized geometry); magnetic moment = 0.0 Bohr magnetons per cell; distance to the lowest polymorph of the same formula = 0.53 eV/f.u.; raw formation energy = -2613 meV per atom; volume = 13.601 Å³/atom
1.0
7.774 0.000 0.000
-2.721 7.318 0.000
-2.472 -3.689 6.454
Na Ca Al Si S O
3 1 3 3 1 16
direct
0.000 0.000 0.000
0.007 0.619 0.393
0.625 0.238 0.627
0.371 0.590 0.006
0.247 0.111 0.758
0.504 0.364 0.252
0.758 0.116 0.251
0.262 0.361 0.505
0.502 0.857 0.755
0.747 0.868 0.501
0.035 0.634 0.995
0.024 0.210 0.314
0.160 0.645 0.192
0.178 0.812 0.985
0.292 0.247 0.007
0.304 0.319 0.700
0.312 0.609 0.603
0.406 0.004 0.720
0.423 0.330 0.428
0.595 0.629 0.310
0.603 0.897 0.991
0.691 0.903 0.693
0.699 0.012 0.406
0.708 0.318 0.278
0.843 0.640 0.980
0.984 0.435 0.822
0.985 0.912 0.592



NaCaAlPd2 (PBEsol, optimized geometry); DFT formation energy = 0.71 eV/atom; magnetic moment = 0.0 Bohr magnetons per cell; volume = 27.260 Å³/atom
1.0
4.961 0.000 0.000
0.000 4.961 0.000
0.000 0.000 5.538
Na Ca Al Pd
1 1 1 2
direct
0.000 0.000 0.000
0.500 0.500 0.500
0.500 0.500 0.000
0.000 0.500 0.500
0.500 0.000 0.500



CaNbAl3 (PBEsol, optimized geometry); DFT formation energy = 0.25 eV/atom; magnetic moment = 0.0 Bohr magnetons per cell; volume = 24.735 Å³/atom
1.0
4.982 0.000 0.000
0.000 4.982 0.000
0.000 0.000 4.982
Ca Nb Al
1 1 3
direct
0.000 0.000 0.000
0.500 0.500 0.500
0.000 0.500 0.500
0.500 0.000 0.500
0.500 0.500 0.000



Ca3NbAl (PBEsol, optimized geometry); DFT formation energy = 0.98 eV/atom; magnetic moment = 4.1 Bohr magnetons per cell; volume = 36.319 Å³/atom
1.0
5.663 0.000 0.000
0.000 5.663 0.000
0.000 0.000 5.663
Ca Nb Al
3 1 1
direct
0.000 0.000 0.500
0.000 0.500 0.000
0.500 0.000 0.000
0.500 0.500 0.500
0.000 0.000 0.000



CaNb2AlPd (PBEsol, optimized geometry); DFT formation energy = 0.93 eV/atom; magnetic moment = 0.0 Bohr magnetons per cell; volume = 24.123 Å³/atom
1.0
4.855 0.000 0.000
0.000 4.855 0.000
0.000 0.000 5.116
Ca Nb Al Pd
1 2 1 1
direct
0.000 0.000 0.000
0.000 0.500 0.500
0.500 0.000 0.500
0.500 0.500 0.000
0.000 0.000 0.500



CaAl9Ni (PBEsol, optimized geometry); DFT formation energy = -0.24 eV/atom; magnetic moment = 0.0 Bohr magnetons per cell; volume = 17.542 Å³/atom
1.0
7.529 0.000 0.000
-3.765 6.520 0.000
0.000 0.000 7.861
Ca Al Ni
2 18 2
direct
0.000 0.000 0.250
0.000 0.000 0.750
0.047 0.523 0.250
0.208 0.416 0.518
0.208 0.416 0.982
0.208 0.792 0.518
0.208 0.792 0.982
0.416 0.208 0.018
0.416 0.208 0.482
0.477 0.523 0.250
0.477 0.953 0.250
0.523 0.047 0.750
0.523 0.477 0.750
0.584 0.792 0.518
0.584 0.792 0.982
0.792 0.208 0.018
0.792 0.208 0.482
0.792 0.584 0.018
0.792 0.584 0.482
0.953 0.477 0.750
0.333 0.667 0.750
0.667 0.333 0.250